Entry 1:
The following is a DFT calculation (PBE-GGA) of Pa2PH2S after structural relaxation.

The space group is P-3m1 (No. 164) and the conventional cell measures 3.7989, 3.7989 and 7.3070 Å, with angles of 90.00, 90.00 and 120.00 degrees. The distinct sites, in fractional coordinates, are Pa at (0.3333, 0.6667, 0.2440), P at (0.0000, 0.0000, 0.0000), H at (0.3333, 0.6667, 0.7473) and S at (0.0000, 0.0000, 0.5000).

The size of the total moment comes out at 0.001 μB/f.u. The value obtained for the theoretical density is 9.6 g/cm³. The total energy comes out at -6.957 eV/atom.

***

Entry 2:
The following is a DFT calculation (PBE-GGA) of Ce2Tm3S8 after structural relaxation.

The space group is P2/m (No. 10) and the conventional cell measures 8.2335, 4.6357 and 8.2443 Å, with angles of 90.00, 109.26 and 90.00 degrees. The distinct sites, in fractional coordinates, are Ce at (0.2355, 0.0000, 0.2646), Tm at (0.2200, 0.5000, 0.7195), Tm at (0.5000, 0.0000, 0.0000), S at (0.1234, 0.5000, 0.3766), S at (0.1400, 0.0000, 0.8812), S at (0.3811, 0.0000, 0.6397) and S at (0.3833, 0.5000, 0.1173).

The size of the total moment comes out at 1.082 μB/f.u. The value obtained for the theoretical density is 5.8 g/cm³. The total energy comes out at -6.313 eV/atom.

***

Entry 3:
The following is a DFT calculation (PBE-GGA) of YPNF2 after structural relaxation.

The space group is P4/mmm (No. 123) and the conventional cell measures 4.5351, 4.5351 and 3.4277 Å, with angles of 90.00, 90.00 and 90.00 degrees. The distinct sites, in fractional coordinates, are Y at (0.0000, 0.0000, 0.0000), P at (0.5000, 0.5000, 0.5000), N at (0.5000, 0.5000, 0.0000) and F at (0.0000, 0.5000, 0.5000).

The size of the total moment comes out at 0.000 μB/f.u. The value obtained for the energy above the most stable polymorph in this dataset is 75.6 kJ/mol of formula units. The value obtained for the theoretical density is 4.0 g/cm³. The total energy comes out at -5.824 eV/atom.

***

Entry 4:
The following is a DFT calculation (PBE-GGA) of LaNdHo4 after structural relaxation.

The space group is P2_1/m (No. 11) and the conventional cell measures 5.7456, 7.0575 and 9.6871 Å, with angles of 90.00, 90.27 and 90.00 degrees. The distinct sites, in fractional coordinates, are La at (0.2172, 0.2500, 0.4190), Nd at (0.2220, 0.7500, 0.0819), Ho at (0.2518, 0.0015, 0.7535), Ho at (0.2769, 0.2500, 0.0805) and Ho at (0.2777, 0.7500, 0.4155).

The size of the total moment comes out at 0.000 μB/f.u. The value obtained for the energy above the most stable polymorph in this dataset is 22.9 kJ/mol of formula units. The value obtained for the theoretical density is 8.0 g/cm³. The total energy comes out at -4.601 eV/atom. For the formation energy from the elements, the calculation gives 0.07 eV per atom.